A relaxed Mg4ZrN4 crystal, computed with PBE-GGA.

Formation energy from raw total energies: -0.9197 eV/atom
Volume: 13.12 A^3/atom
ρ: 3.439 g/cm³
Total magnetic moment: 0.00 μB/cell

Unit cell a=5.641 b=5.682 c=8.466 alpha=70.36 beta=83.90 gamma=67.53
Element x y z (fractional)
Mg1 0.719 0.616 0.217
Mg2 0.281 0.384 0.783
Mg3 0.757 0.237 0.999
Mg4 0.243 0.763 0.001
Mg5 0.740 0.482 0.572
Mg6 0.260 0.518 0.428
Mg7 0.255 0.924 0.582
Mg8 0.745 0.076 0.418
Zr1 0.729 0.828 0.782
Zr2 0.271 0.172 0.218
N1 0.995 0.700 0.601
N2 0.005 0.300 0.399
N3 0.847 0.835 0.004
N4 0.153 0.165 0.996
N5 0.494 0.611 0.804
N6 0.506 0.389 0.196
N7 0.480 0.799 0.383
N8 0.520 0.201 0.617